No. 1
Below is a relaxed structure of RbNaTmF5, with properties calculated at the PBE level.

- Electronic total energy: -5.497 eV/atom

abc: 6.5277 6.5277 8.3154
angles: 101.26 101.26 110.46
Last column: nearest neighbours and their distance in Å.
Positions (direct):
Rb  0.1656  0.8344  0.7500  7 F 2.90-3.10
Rb  0.8344  0.1656  0.2500  7 F 2.90-3.10
Na  0.1809  0.8191  0.2500  4 F 2.21-2.22
Na  0.8191  0.1809  0.7500  4 F 2.21-2.22
Tm  0.5000  0.5000  0.0000  6 F 2.13-2.17
Tm  0.5000  0.5000  0.5000  6 F 2.13-2.17
F  0.1541  0.2586  0.9260  1 Tm 2.13, 1 Na 2.21
F  0.2257  0.5972  0.4124  1 Tm 2.15, 1 Na 2.22
F  0.2586  0.1541  0.4260  1 Tm 2.13, 1 Na 2.21
F  0.4028  0.7743  0.0876  1 Tm 2.15, 1 Na 2.22
F  0.4411  0.5589  0.7500  2 Tm 2.17
F  0.5589  0.4411  0.2500  2 Tm 2.17
F  0.5972  0.2257  0.9124  1 Tm 2.15, 1 Na 2.22
F  0.7413  0.8459  0.5740  1 Tm 2.13, 1 Na 2.21
F  0.7743  0.4028  0.5876  1 Tm 2.15, 1 Na 2.22
F  0.8459  0.7413  0.0740  1 Tm 2.13, 1 Na 2.21

No. 2
Below is a relaxed structure of Rb2NaUF8, with properties calculated at the PBE level.

- Electronic total energy: -5.648 eV/atom

abc: 7.2034 7.2034 7.2034
angles: 129.35 129.35 74.45
Last column: nearest neighbours and their distance in Å.
Positions (direct):
Rb  0.0000  0.0000  0.0000  8 F 2.77
Rb  0.7500  0.2500  0.5000  8 F 2.85
Na  0.5000  0.5000  0.0000  8 F 2.67
U  0.2500  0.7500  0.5000  8 F 2.22
F  0.1610  0.0760  0.5133  1 U 2.22, 1 F 2.48
F  0.1610  0.6477  0.0851  1 U 2.22, 1 F 2.48
F  0.3523  0.4373  0.5133  1 U 2.22, 1 F 2.48
F  0.3523  0.8390  0.9149  1 U 2.22, 1 F 2.48
F  0.5627  0.0760  0.9149  1 U 2.22, 1 F 2.48
F  0.5627  0.6477  0.4867  1 U 2.22, 1 F 2.48
F  0.9240  0.4373  0.0851  1 U 2.22, 1 F 2.48
F  0.9240  0.8390  0.4867  1 U 2.22, 1 F 2.48

Which V belongs to each record? In order, 312 218 Å³ per cell.